# 1
Compound: Sc7Zn2Cu2
Source: Alexandria via LeMat-Bulk
Functional: GGA-PBE
Structure: optimized geometry

Values from the calculation:
final energy: -4.987 eV/atom
SG: No. 65
calculated density: 3.96 g cm⁻³
density of states at the Fermi level: 1.262 states/eV/atom
formation energy: 0.02 eV per atom

Cell: 6.210 6.210 6.670 Å, 90.00 90.00 110.97°
Fractional positions:
Sc: 0.000 0.000 0.000
Sc: 0.000 0.500 0.272
Sc: 0.000 0.500 0.728
Sc: 0.500 0.000 0.272
Sc: 0.500 0.000 0.728
Sc: 0.500 0.500 0.255
Sc: 0.500 0.500 0.745
Zn: 0.172 0.172 0.500
Zn: 0.828 0.828 0.500
Cu: 0.298 0.702 0.000
Cu: 0.702 0.298 0.000

# 2
Compound: Sc2ZnCu
Source: Alexandria via LeMat-Bulk
Functional: GGA-PBE
Structure: optimized geometry

Values from the calculation:
final energy: -4.562 eV/atom
SG: No. 166
calculated density: 4.57 g cm⁻³
density of states at the Fermi level: 1.091 states/eV/atom
formation energy: -0.05 eV per atom

Cell: 8.386 8.386 8.386 Å, 23.07 23.07 23.07°
Fractional positions:
Sc: 0.245 0.245 0.245
Sc: 0.755 0.755 0.755
Zn: 0.000 0.000 0.000
Cu: 0.500 0.500 0.500

# 3
Compound: Sc2ZnCu7
Source: Alexandria via LeMat-Bulk
Functional: GGA-PBE
Structure: optimized geometry

Values from the calculation:
final energy: -3.902 eV/atom
SG: No. 225
calculated density: 5.76 g cm⁻³
density of states at the Fermi level: 0.577 states/eV/atom
formation energy: 0.36 eV per atom

Cell: 6.254 6.254 6.254 Å, 60.00 60.00 60.00°
Fractional positions:
Sc: 0.250 0.250 0.250
Sc: 0.750 0.750 0.750
Zn: 0.000 0.000 0.000
Cu: 0.251 0.251 0.749
Cu: 0.251 0.749 0.251
Cu: 0.251 0.749 0.749
Cu: 0.500 0.500 0.500
Cu: 0.749 0.251 0.251
Cu: 0.749 0.251 0.749
Cu: 0.749 0.749 0.251

# 4
Compound: ScZnCu3
Source: Alexandria via LeMat-Bulk
Functional: GGA-PBE
Structure: optimized geometry

Values from the calculation:
energy above the most stable polymorph in this dataset: 0.502 eV/atom
final energy: -3.648 eV/atom
SG: No. 221
calculated density: 5.71 g cm⁻³
density of states at the Fermi level: 0.634 states/eV/atom
formation energy: 0.33 eV per atom

Cell: 4.441 4.441 4.441 Å, 90.00 90.00 90.00°
Fractional positions:
Sc: 0.000 0.000 0.000
Zn: 0.500 0.500 0.500
Cu: 0.000 0.500 0.500
Cu: 0.500 0.000 0.500
Cu: 0.500 0.500 0.000

# 5
Compound: Sc2Zn3Cu
Source: Alexandria via LeMat-Bulk
Functional: GGA-PBE
Structure: optimized geometry

Values from the calculation:
final energy: -3.756 eV/atom
SG: No. 69
calculated density: 5.66 g cm⁻³
density of states at the Fermi level: 0.630 states/eV/atom
formation energy: -0.33 eV per atom

Cell: 8.688 8.157 5.355 Å, 76.95 66.15 36.90°
Fractional positions:
Sc: 0.247 0.753 0.753
Sc: 0.250 0.250 0.250
Sc: 0.750 0.750 0.750
Sc: 0.753 0.247 0.247
Zn: 0.164 0.668 0.332
Zn: 0.332 0.332 0.668
Zn: 0.332 0.836 0.164
Zn: 0.668 0.164 0.836
Zn: 0.668 0.668 0.332
Zn: 0.836 0.332 0.668
Cu: 0.167 0.167 0.833
Cu: 0.833 0.833 0.167

# 6
Compound: ScZnCu3
Source: Alexandria via LeMat-Bulk
Functional: GGA-PBE
Structure: optimized geometry

Values from the calculation:
energy above the most stable polymorph in this dataset: 0.000 eV/atom
final energy: -4.150 eV/atom
SG: No. 15
calculated density: 6.91 g cm⁻³
density of states at the Fermi level: 0.456 states/eV/atom
formation energy: -0.17 eV per atom

Cell: 6.746 6.746 7.465 Å, 112.53 112.53 79.07°
Fractional positions:
Sc: 0.100 0.900 0.750
Sc: 0.360 0.640 0.250
Sc: 0.640 0.360 0.750
Sc: 0.900 0.100 0.250
Zn: 0.027 0.293 0.682
Zn: 0.293 0.027 0.182
Zn: 0.707 0.973 0.818
Zn: 0.973 0.707 0.318
Cu: 0.045 0.316 0.047
Cu: 0.196 0.409 0.457
Cu: 0.298 0.552 0.852
Cu: 0.316 0.045 0.547
Cu: 0.409 0.196 0.957
Cu: 0.448 0.702 0.648
Cu: 0.552 0.298 0.352
Cu: 0.591 0.804 0.043
Cu: 0.684 0.955 0.453
Cu: 0.702 0.448 0.148
Cu: 0.804 0.591 0.543
Cu: 0.955 0.684 0.953

# 7
Compound: Sc11Zn9Cu4
Source: Alexandria via LeMat-Bulk
Functional: GGA-PBE
Structure: optimized geometry

Values from the calculation:
final energy: -4.387 eV/atom
SG: No. 65
calculated density: 5.09 g cm⁻³
density of states at the Fermi level: 0.826 states/eV/atom
formation energy: -0.32 eV per atom

Cell: 11.866 11.866 3.354 Å, 90.00 90.00 112.55°
Fractional positions:
Sc: 0.000 0.000 0.000
Sc: 0.071 0.414 0.000
Sc: 0.166 0.834 0.000
Sc: 0.282 0.282 0.000
Sc: 0.360 0.640 0.000
Sc: 0.414 0.071 0.000
Sc: 0.586 0.929 0.000
Sc: 0.640 0.360 0.000
Sc: 0.718 0.718 0.000
Sc: 0.834 0.166 0.000
Sc: 0.929 0.586 0.000
Zn: 0.063 0.213 0.500
Zn: 0.155 0.631 0.500
Zn: 0.213 0.063 0.500
Zn: 0.369 0.845 0.500
Zn: 0.500 0.500 0.500
Zn: 0.631 0.155 0.500
Zn: 0.787 0.937 0.500
Zn: 0.845 0.369 0.500
Zn: 0.937 0.787 0.500
Cu: 0.257 0.450 0.500
Cu: 0.450 0.257 0.500
Cu: 0.550 0.743 0.500
Cu: 0.743 0.550 0.500

# 8
Compound: Sc3Zn2Cu
Source: Alexandria via LeMat-Bulk
Functional: GGA-PBE
Structure: optimized geometry

Values from the calculation:
energy above the most stable polymorph in this dataset: 0.000 eV/atom
final energy: -4.612 eV/atom
SG: No. 123
calculated density: 4.97 g cm⁻³
density of states at the Fermi level: 0.916 states/eV/atom
formation energy: -0.34 eV per atom

Cell: 3.327 3.327 9.943 Å, 90.00 90.00 90.00°
Fractional positions:
Sc: 0.000 0.000 0.000
Sc: 0.000 0.000 0.340
Sc: 0.000 0.000 0.660
Zn: 0.500 0.500 0.168
Zn: 0.500 0.500 0.832
Cu: 0.500 0.500 0.500

# 9
Compound: Sc4ZnCu2
Source: Alexandria via LeMat-Bulk
Functional: GGA-PBE
Structure: optimized geometry

Values from the calculation:
energy above the most stable polymorph in this dataset: 0.147 eV/atom
final energy: -4.994 eV/atom
SG: No. 166
calculated density: 4.23 g cm⁻³
density of states at the Fermi level: 1.264 states/eV/atom
formation energy: -0.02 eV per atom

Cell: 8.606 8.606 8.606 Å, 30.56 30.56 30.56°
Fractional positions:
Sc: 0.120 0.120 0.120
Sc: 0.294 0.294 0.294
Sc: 0.706 0.706 0.706
Sc: 0.880 0.880 0.880
Zn: 0.500 0.500 0.500
Cu: 0.403 0.403 0.403
Cu: 0.597 0.597 0.597

# 10
Compound: Sc3Zn2Cu9
Source: Alexandria via LeMat-Bulk
Functional: GGA-PBE
Structure: optimized geometry

Values from the calculation:
final energy: -4.344 eV/atom
SG: No. 71
calculated density: 6.64 g cm⁻³
density of states at the Fermi level: 0.656 states/eV/atom
formation energy: -0.17 eV per atom

Cell: 7.635 7.635 7.635 Å, 148.91 111.80 76.84°
Fractional positions:
Sc: 0.000 0.000 0.000
Sc: 0.296 0.296 0.000
Sc: 0.704 0.704 0.000
Zn: 0.304 0.500 0.804
Zn: 0.696 0.500 0.196
Cu: 0.031 0.671 0.360
Cu: 0.154 0.871 0.283
Cu: 0.311 0.671 0.640
Cu: 0.412 0.129 0.283
Cu: 0.500 0.000 0.500
Cu: 0.588 0.871 0.717
Cu: 0.689 0.329 0.360
Cu: 0.846 0.129 0.717
Cu: 0.969 0.329 0.640

# 11
Compound: Sc2ZnCu3
Source: Alexandria via LeMat-Bulk
Functional: GGA-PBE
Structure: optimized geometry

Values from the calculation:
energy above the most stable polymorph in this dataset: 0.000 eV/atom
final energy: -4.647 eV/atom
SG: No. 194
calculated density: 6.15 g cm⁻³
density of states at the Fermi level: 0.606 states/eV/atom
formation energy: -0.28 eV per atom

Cell: 5.142 5.142 8.166 Å, 90.00 90.00 120.00°
Fractional positions:
Sc: 0.333 0.667 0.058
Sc: 0.333 0.667 0.442
Sc: 0.667 0.333 0.558
Sc: 0.667 0.333 0.942
Zn: 0.000 0.000 0.000
Zn: 0.000 0.000 0.500
Cu: 0.170 0.340 0.750
Cu: 0.170 0.830 0.750
Cu: 0.340 0.170 0.250
Cu: 0.660 0.830 0.750
Cu: 0.830 0.170 0.250
Cu: 0.830 0.660 0.250

# 12
Compound: Sc4ZnCu
Source: Alexandria via LeMat-Bulk
Functional: GGA-PBE
Structure: optimized geometry

Values from the calculation:
energy above the most stable polymorph in this dataset: 0.632 eV/atom
final energy: -4.667 eV/atom
SG: No. 216
calculated density: 3.96 g cm⁻³
density of states at the Fermi level: 0.979 states/eV/atom
formation energy: 0.45 eV per atom

Cell: 5.680 5.680 5.680 Å, 60.00 60.00 60.00°
Fractional positions:
Sc: 0.125 0.125 0.125
Sc: 0.125 0.125 0.626
Sc: 0.125 0.626 0.125
Sc: 0.626 0.125 0.125
Zn: 0.750 0.750 0.750
Cu: 0.500 0.500 0.500

# 13
Compound: ScZn2Cu4
Source: Alexandria via LeMat-Bulk
Functional: GGA-PBE
Structure: optimized geometry

Values from the calculation:
energy above the most stable polymorph in this dataset: 0.000 eV/atom
final energy: -3.803 eV/atom
SG: No. 12
calculated density: 7.21 g cm⁻³
density of states at the Fermi level: 0.405 states/eV/atom
formation energy: -0.19 eV per atom

Cell: 5.087 5.087 4.916 Å, 118.08 118.08 76.47°
Fractional positions:
Sc: 0.000 0.000 0.000
Zn: 0.498 0.498 0.247
Zn: 0.502 0.502 0.753
Cu: 0.001 0.614 0.309
Cu: 0.386 0.999 0.691
Cu: 0.614 0.001 0.309
Cu: 0.999 0.386 0.691

# 14
Compound: Sc2ZnCu
Source: Alexandria via LeMat-Bulk
Functional: GGA-PBE
Structure: optimized geometry

Values from the calculation:
final energy: -4.535 eV/atom
SG: No. 216
calculated density: 5.20 g cm⁻³
density of states at the Fermi level: 1.063 states/eV/atom
formation energy: -0.03 eV per atom

Cell: 4.624 4.624 4.624 Å, 60.00 60.00 60.00°
Fractional positions:
Sc: 0.000 0.000 0.000
Sc: 0.250 0.250 0.250
Zn: 0.750 0.750 0.750
Cu: 0.500 0.500 0.500

# 15
Compound: Sc2ZnCu
Source: Alexandria via LeMat-Bulk
Functional: GGA-PBE
Structure: optimized geometry

Values from the calculation:
final energy: -4.708 eV/atom
SG: No. 44
calculated density: 4.97 g cm⁻³
density of states at the Fermi level: 1.073 states/eV/atom
formation energy: -0.20 eV per atom

Cell: 5.656 5.656 5.656 Å, 147.22 131.19 60.05°
Fractional positions:
Sc: 0.000 0.000 0.000
Sc: 0.713 0.213 0.500
Zn: 0.271 0.771 0.500
Cu: 0.471 0.471 0.000

# 16
Compound: ScZn3Cu8
Source: Alexandria via LeMat-Bulk
Functional: GGA-PBE
Structure: optimized geometry

Values from the calculation:
final energy: -3.655 eV/atom
SG: No. 156
calculated density: 7.56 g cm⁻³
density of states at the Fermi level: 0.587 states/eV/atom
formation energy: -0.08 eV per atom

Cell: 4.928 4.928 7.825 Å, 90.00 90.00 120.00°
Fractional positions:
Sc: 0.000 0.000 0.000
Zn: 0.000 0.000 0.389
Zn: 0.667 0.333 0.499
Zn: 0.667 0.333 0.865
Cu: 0.164 0.328 0.685
Cu: 0.164 0.836 0.685
Cu: 0.333 0.667 0.436
Cu: 0.333 0.667 0.938
Cu: 0.504 0.008 0.191
Cu: 0.504 0.496 0.191
Cu: 0.672 0.836 0.685
Cu: 0.992 0.496 0.191

# 17
Compound: ScZnCu2
Source: Alexandria via LeMat-Bulk
Functional: GGA-PBE
Structure: optimized geometry

Values from the calculation:
final energy: -3.864 eV/atom
SG: No. 160
calculated density: 6.31 g cm⁻³
density of states at the Fermi level: 0.587 states/eV/atom
formation energy: 0.09 eV per atom

Cell: 8.745 8.745 8.745 Å, 19.09 19.09 19.09°
Fractional positions:
Sc: 0.000 0.000 0.000
Zn: 0.239 0.239 0.239
Cu: 0.496 0.496 0.496
Cu: 0.754 0.754 0.754

# 18
Compound: ScZn3Cu3
Source: Alexandria via LeMat-Bulk
Functional: GGA-PBE
Structure: optimized geometry

Values from the calculation:
energy above the most stable polymorph in this dataset: 0.000 eV/atom
final energy: -2.757 eV/atom
SG: No. 223
calculated density: 5.24 g cm⁻³
density of states at the Fermi level: 0.733 states/eV/atom
formation energy: 0.45 eV per atom

Cell: 6.494 6.494 6.494 Å, 90.00 90.00 90.00°
Fractional positions:
Sc: 0.000 0.000 0.000
Sc: 0.500 0.500 0.500
Zn: 0.000 0.250 0.500
Zn: 0.000 0.750 0.500
Zn: 0.250 0.500 0.000
Zn: 0.500 0.000 0.250
Zn: 0.500 0.000 0.750
Zn: 0.750 0.500 0.000
Cu: 0.000 0.500 0.250
Cu: 0.000 0.500 0.750
Cu: 0.250 0.000 0.500
Cu: 0.500 0.250 0.000
Cu: 0.500 0.750 0.000
Cu: 0.750 0.000 0.500

# 19
Compound: Sc2Zn12Cu
Source: Alexandria via LeMat-Bulk
Functional: GGA-PBE
Structure: optimized geometry

Values from the calculation:
final energy: -2.223 eV/atom
SG: No. 125
calculated density: 6.21 g cm⁻³
density of states at the Fermi level: 0.509 states/eV/atom
formation energy: -0.09 eV per atom

Cell: 5.500 5.500 16.603 Å, 90.00 90.00 90.00°
Fractional positions:
Sc: 0.250 0.750 0.250
Sc: 0.250 0.750 0.750
Sc: 0.750 0.250 0.250
Sc: 0.750 0.250 0.750
Zn: 0.000 0.000 0.092
Zn: 0.000 0.000 0.908
Zn: 0.000 0.500 0.092
Zn: 0.000 0.500 0.908
Zn: 0.080 0.580 0.432
Zn: 0.080 0.920 0.568
Zn: 0.250 0.250 0.191
Zn: 0.250 0.250 0.336
Zn: 0.250 0.250 0.664
Zn: 0.250 0.250 0.809
Zn: 0.420 0.580 0.568
Zn: 0.420 0.920 0.432
Zn: 0.500 0.000 0.092
Zn: 0.500 0.000 0.908
Zn: 0.500 0.500 0.092
Zn: 0.500 0.500 0.908
Zn: 0.580 0.080 0.568
Zn: 0.580 0.420 0.432
Zn: 0.750 0.750 0.191
Zn: 0.750 0.750 0.336
Zn: 0.750 0.750 0.664
Zn: 0.750 0.750 0.809
Zn: 0.920 0.080 0.432
Zn: 0.920 0.420 0.568
Cu: 0.250 0.750 0.000
Cu: 0.750 0.250 0.000

# 20
Compound: Sc5ZnCu
Source: Alexandria via LeMat-Bulk
Functional: GGA-PBE
Structure: optimized geometry

Values from the calculation:
final energy: -5.309 eV/atom
SG: No. 15
calculated density: 3.83 g cm⁻³
density of states at the Fermi level: 1.326 states/eV/atom
formation energy: -0.02 eV per atom

Cell: 5.867 5.867 8.930 Å, 92.63 92.63 90.76°
Fractional positions:
Sc: 0.063 0.616 0.339
Sc: 0.145 0.855 0.750
Sc: 0.234 0.410 0.000
Sc: 0.384 0.937 0.161
Sc: 0.410 0.234 0.500
Sc: 0.590 0.766 0.500
Sc: 0.616 0.063 0.839
Sc: 0.766 0.590 0.000
Sc: 0.855 0.145 0.250
Sc: 0.937 0.384 0.661
Zn: 0.475 0.525 0.750
Zn: 0.525 0.475 0.250
Cu: 0.000 0.000 0.000
Cu: 0.000 0.000 0.500